Density functional theory data (GGA+U) for a relaxed structure of MgCoSnO4.

Cell: 6.208 6.208 6.208 Å, 121.21 119.11 89.73°
Element x y z (fractional)
Mg1 0.387 0.137 0.250
Mg2 0.613 0.863 0.750
Co1 0.000 0.000 0.500
Co2 0.000 0.500 0.000
Sn1 0.000 0.500 0.500
Sn2 0.500 0.500 0.000
O1 0.218 0.734 0.483
O2 0.249 0.265 0.516
O3 0.249 0.266 0.983
O4 0.249 0.733 0.984
O5 0.751 0.267 0.016
O6 0.751 0.734 0.017
O7 0.751 0.735 0.484
O8 0.782 0.266 0.517

Summary:
- V (Å³/cell) = 168.7
- DFT total energy (eV/atom) = -6.15
- theoretical density (g cm⁻³) = 5.24

---

Density functional theory data (GGA+U) for a relaxed structure of Mg6CoSnO8.

Cell: 4.394 4.394 8.856 Å, 90.00 90.00 90.00°
Element x y z (fractional)
Mg1 0.000 0.000 0.000
Mg2 0.000 0.000 0.500
Mg3 0.000 0.500 0.231
Mg4 0.000 0.500 0.769
Mg5 0.500 0.000 0.231
Mg6 0.500 0.000 0.769
Co1 0.500 0.500 0.000
Sn1 0.500 0.500 0.500
O1 0.000 0.000 0.249
O2 0.000 0.000 0.751
O3 0.000 0.500 0.000
O4 0.000 0.500 0.500
O5 0.500 0.000 0.000
O6 0.500 0.000 0.500
O7 0.500 0.500 0.244
O8 0.500 0.500 0.756

Summary:
- N(E_F) (states/eV/f.u.) = 3.42
- V (Å³/cell) = 170.9
- excess energy over the best structure of this formula in the dataset (meV/atom) = 30
- DFT total energy (eV/atom) = -5.76
- theoretical density (g cm⁻³) = 4.39